Entry 1:
A plane-wave DFT calculation with PBE was carried out for an optimized crystal structure of U2TlBr8.

Cell lengths 8.0763, 8.0763, 5.8205 Å; angles 96.05, 96.05, 111.58 degrees
Fractional positions:
U  0.1811  0.8189  0.0000
U  0.8189  0.1811  0.0000
Tl  0.5000  0.5000  0.5000
Br  0.1004  0.1004  0.2817
Br  0.1724  0.4433  0.9223
Br  0.2435  0.7565  0.5000
Br  0.4433  0.1724  0.9223
Br  0.5567  0.8276  0.0777
Br  0.7565  0.2435  0.5000
Br  0.8276  0.5567  0.0777
Br  0.8996  0.8996  0.7183

## Properties
- Offset from the most stable computed form: 0 meV/atom
- Magnetization: 0.455 μB/atom
- Uncorrected formation energy: -115.03 kJ per mole of atoms


Entry 2:
A plane-wave DFT calculation with PBE was carried out for an optimized crystal structure of U2TlBr8.

Cell lengths 9.9823, 9.9823, 5.7745 Å; angles 90.00, 90.00, 120.00 degrees
Fractional positions:
U  0.3333  0.6667  0.2430
U  0.6667  0.3333  0.7570
Tl  0.0000  0.0000  0.0000
Br  0.1752  0.3522  0.2598
Br  0.1770  0.8248  0.2598
Br  0.3333  0.6667  0.7517
Br  0.3522  0.1770  0.7402
Br  0.6478  0.8230  0.2598
Br  0.6667  0.3333  0.2483
Br  0.8230  0.1752  0.7402
Br  0.8248  0.6478  0.7402

## Properties
- Offset from the most stable computed form: 83 meV/atom
- Magnetization: 0.455 μB/atom
- Uncorrected formation energy: -106.97 kJ per mole of atoms


Entry 3:
A plane-wave DFT calculation with PBE was carried out for an optimized crystal structure of Tl2VBr5.

Cell lengths 6.8128, 7.6579, 7.6682 Å; angles 101.54, 112.94, 112.63 degrees
Fractional positions:
Tl  0.0000  0.0000  0.0000
Tl  0.0003  0.4602  0.5390
V  0.4158  0.6683  0.2085
Br  0.0485  0.6525  0.1918
Br  0.3603  0.3967  0.9375
Br  0.4134  0.8841  0.9862
Br  0.4157  0.4470  0.4255
Br  0.8241  0.9463  0.4866

## Properties
- Offset from the most stable computed form: 0 meV/atom
- Magnetization: 0.250 μB/atom
- Uncorrected formation energy: -80.85 kJ per mole of atoms


Entry 4:
A plane-wave DFT calculation with PBE was carried out for an optimized crystal structure of TlVBr3.

Cell lengths 5.2735, 5.2735, 5.2735 Å; angles 90.00, 90.00, 90.00 degrees
Fractional positions:
Tl  0.0000  0.0000  0.0000
V  0.5000  0.5000  0.5000
Br  0.0000  0.5000  0.5000
Br  0.5000  0.0000  0.5000
Br  0.5000  0.5000  0.0000

## Properties
- Offset from the most stable computed form: 90 meV/atom
- Magnetization: 0.600 μB/atom
- Uncorrected formation energy: -69.30 kJ per mole of atoms


Entry 5:
A plane-wave DFT calculation with PBE was carried out for an optimized crystal structure of TlVBr2.

Cell lengths 5.3248, 5.3248, 5.3248 Å; angles 60.00, 60.00, 60.00 degrees
Fractional positions:
Tl  0.0000  0.0000  0.0000
V  0.5000  0.5000  0.5000
Br  0.2500  0.2500  0.2500
Br  0.7500  0.7500  0.7500

## Properties
- Offset from the most stable computed form: 495 meV/atom
- Magnetization: 1.001 μB/atom
- Uncorrected formation energy: 1.91 kJ per mole of atoms


Entry 6:
A plane-wave DFT calculation with PBE was carried out for an optimized crystal structure of Tl2VBr5.

Cell lengths 8.2382, 8.2382, 14.3015 Å; angles 90.00, 90.00, 143.60 degrees
Fractional positions:
Tl  0.1189  0.8811  0.5140
Tl  0.1189  0.8811  0.9860
Tl  0.8811  0.1189  0.0140
Tl  0.8811  0.1189  0.4860
V  0.4124  0.5876  0.2500
V  0.5876  0.4124  0.7500
Br  0.1053  0.8947  0.7500
Br  0.2925  0.7075  0.1211
Br  0.2925  0.7075  0.3789
Br  0.4773  0.5227  0.6258
Br  0.4773  0.5227  0.8742
Br  0.5227  0.4773  0.1258
Br  0.5227  0.4773  0.3742
Br  0.7075  0.2925  0.6211
Br  0.7075  0.2925  0.8789
Br  0.8947  0.1053  0.2500

## Properties
- Offset from the most stable computed form: 44 meV/atom
- Magnetization: 0.250 μB/atom
- Uncorrected formation energy: -76.56 kJ per mole of atoms


Entry 7:
A plane-wave DFT calculation with PBE was carried out for an optimized crystal structure of Tl2V3Br8.

Cell lengths 8.9237, 8.9237, 6.8625 Å; angles 105.03, 105.03, 52.64 degrees
Fractional positions:
Tl  0.2315  0.2315  0.1646
Tl  0.7685  0.7685  0.8354
V  0.2481  0.7519  0.5000
V  0.5000  0.5000  0.0000
V  0.7519  0.2481  0.5000
Br  0.1003  0.1003  0.4451
Br  0.1744  0.6385  0.1142
Br  0.3615  0.8256  0.8858
Br  0.4077  0.4077  0.6067
Br  0.5923  0.5923  0.3933
Br  0.6385  0.1744  0.1142
Br  0.8256  0.3615  0.8858
Br  0.8997  0.8997  0.5549

## Properties
- Magnetization: 0.692 μB/atom
- Uncorrected formation energy: -76.65 kJ per mole of atoms


Entry 8:
A plane-wave DFT calculation with PBE was carried out for an optimized crystal structure of Tl3VBr6.

Cell lengths 7.5315, 8.2741, 13.0948 Å; angles 90.00, 122.90, 90.00 degrees
Fractional positions:
Tl  0.0000  0.0000  0.0000
Tl  0.0000  0.5000  0.5000
Tl  0.2101  0.0808  0.7431
Tl  0.2101  0.4192  0.2431
Tl  0.7899  0.5808  0.7569
Tl  0.7899  0.9192  0.2569
V  0.5000  0.0000  0.5000
V  0.5000  0.5000  0.0000
Br  0.1746  0.1615  0.4554
Br  0.1746  0.3385  0.9554
Br  0.2812  0.7379  0.4335
Br  0.2812  0.7621  0.9335
Br  0.4012  0.0468  0.2817
Br  0.4012  0.4532  0.7817
Br  0.5988  0.5468  0.2183
Br  0.5988  0.9532  0.7183
Br  0.7188  0.2379  0.0665
Br  0.7188  0.2621  0.5665
Br  0.8254  0.6615  0.0446
Br  0.8254  0.8385  0.5446

## Properties
- Offset from the most stable computed form: 0 meV/atom
- Magnetization: 0.200 μB/atom
- Uncorrected formation energy: -81.73 kJ per mole of atoms